Below is an optimized crystal structure of BaNiOsO6, with properties calculated at the GGA+U level.

The structure in POSCAR format:
```
BaNiOsO6
1.0
5.317 0.000 0.000
-2.658 4.605 0.000
0.000 0.000 5.635
Ba Ni Os O
1 1 1 6
direct
0.000 0.000 0.000
0.333 0.667 0.500
0.667 0.333 0.500
0.403 0.025 0.692
0.403 0.378 0.308
0.622 0.025 0.308
0.622 0.597 0.692
0.975 0.378 0.692
0.975 0.597 0.308
```

Computed properties:
Density, g/cm3: 5.80
Space group: P312
Electronic total energy, eV per cell: -58.40